(1)
A relaxed Cr2AgHg crystal, computed with PBE-GGA.

## Properties
DFT total energy: -38.509 eV for the cell shown
Calculated formation energy: 0.786 eV per atom
Calculated volume: 123.8 Å³ per cell
Theoretical density: 11.06 g cm⁻³
Magnetization: 0.00 μB/cell
Density of states at the Fermi level: 8.53 states/eV/cell

a = 3.7999 Å, b = 3.7999 Å, c = 8.5758 Å
α = 90.00°, β = 90.00°, γ = 90.00°
Last column: nearest neighbours and their distance in Å.
Space group I4/mmm (No. 139)
One atom of each set of equivalent atoms:
Cr 0.0000 0.5000 0.2500 [4 per cell]  4 Cr 2.69, 4 Hg 2.86, 4 Ag 2.86
Ag 0.0000 0.0000 0.0000 [2 per cell]  4 Hg 2.69, 8 Cr 2.86
Hg 0.0000 0.0000 0.5000 [2 per cell]  4 Ag 2.69, 8 Cr 2.86

(2)
A relaxed Nb7P4 crystal, computed with PBE-GGA.

## Properties
DFT total energy: -407.362 eV for the cell shown
Calculated formation energy: -0.883 eV per atom
Calculated volume: 703.4 Å³ per cell
Theoretical density: 7.31 g cm⁻³
Magnetization: 0.00 μB/cell
Density of states at the Fermi level: 22.12 states/eV/cell

a = 15.0658 Å, b = 3.4590 Å, c = 13.9663 Å
α = 90.00°, β = 104.90°, γ = 90.00°
Last column: nearest neighbours and their distance in Å.
Space group C2/m (No. 12)
One atom of each set of equivalent atoms:
Nb 0.0000 0.0000 0.0000 [2 per cell]  4 P 2.53-2.67
Nb 0.0000 0.5000 0.5000 [2 per cell]  4 P 2.61-2.66, 4 Nb 2.88
Nb 0.0045 0.0000 0.6657 [4 per cell]  5 P 2.49-2.59
Nb 0.0672 0.5000 0.1726 [4 per cell]  4 P 2.59-2.63
Nb 0.1610 0.5000 0.9723 [4 per cell]  4 P 2.58-2.60
Nb 0.1744 0.0000 0.5387 [4 per cell]  4 P 2.59-2.66
Nb 0.1953 0.0000 0.3120 [4 per cell]  4 P 2.47-2.72
Nb 0.2102 0.0000 0.8017 [4 per cell]  5 P 2.46-2.63
P 0.0643 0.0000 0.8495 [4 per cell]  7 Nb 2.46-2.60
P 0.1259 0.5000 0.3966 [4 per cell]  7 Nb 2.47-2.66
P 0.1311 0.5000 0.6640 [4 per cell]  8 Nb 2.55-2.66
P 0.1727 0.0000 0.1124 [4 per cell]  8 Nb 2.54-2.72

(3)
A relaxed SrTaBr crystal, computed with PBE-GGA.

## Properties
Formation energy from raw total energies: 0.99 eV per atom
DFT total energy: -48.902 eV for the cell shown
Calculated volume: 359.4 Å³ per cell
Theoretical density: 6.44 g cm⁻³
Magnetization: 5.71 μB/cell
Density of states at the Fermi level: 9.88 states/eV/cell

a = 7.1100 Å, b = 7.1100 Å, c = 7.1100 Å
α = 90.00°, β = 90.00°, γ = 90.00°
Last column: nearest neighbours and their distance in Å.
Space group F-43m (No. 216)
One atom of each set of equivalent atoms:
Sr 0.0000 0.0000 0.0000 [4 per cell]  4 Br 3.08
Ta 0.0000 0.0000 0.5000 [4 per cell]  4 Br 3.08
Br 0.2500 0.2500 0.7500 [4 per cell]  4 Ta 3.08, 4 Sr 3.08

(4)
A relaxed NaCo3Ni crystal, computed with PBE-GGA.

## Properties
DFT total energy: -23.416 eV for the cell shown
Calculated formation energy: 1.000 eV per atom
Calculated volume: 84.9 Å³ per cell
Theoretical density: 5.06 g cm⁻³
Magnetization: 6.37 μB/cell
Density of states at the Fermi level: 6.57 states/eV/cell

a = 4.3946 Å, b = 4.3946 Å, c = 4.3946 Å
α = 90.00°, β = 90.00°, γ = 90.00°
Last column: nearest neighbours and their distance in Å.
Space group Pm-3m (No. 221)
One atom of each set of equivalent atoms:
Na 0.0000 0.0000 0.0000 [1 per cell]  12 Co 3.11
Co 0.0000 0.5000 0.5000 [3 per cell]  2 Ni 2.20
Ni 0.5000 0.5000 0.5000 [1 per cell]  6 Co 2.20

(5)
A relaxed ZnIrS2N crystal, computed with PBE-GGA.

## Properties
Formation energy from raw total energies: 0.46 eV per atom
DFT total energy: -24.398 eV for the cell shown
Calculated volume: 87.6 Å³ per cell
Theoretical density: 6.37 g cm⁻³
Magnetization: 0.00 μB/cell
Density of states at the Fermi level: 2.97 states/eV/cell

a = 4.9031 Å, b = 4.9031 Å, c = 3.6423 Å
α = 90.00°, β = 90.00°, γ = 90.00°
Last column: nearest neighbours and their distance in Å.
Space group P4/mmm (No. 123)
One atom of each set of equivalent atoms:
Zn 0.0000 0.0000 0.0000 [1 per cell]  8 S 3.05
Ir 0.5000 0.5000 0.5000 [1 per cell]  2 N 1.82
S 0.0000 0.5000 0.5000 [2 per cell]  2 Ir 2.45
N 0.5000 0.5000 0.0000 [1 per cell]  2 Ir 1.82

(6)
A relaxed InOs2Cl crystal, computed with PBE-GGA.

## Properties
Formation energy from raw total energies: 1.17 eV per atom
DFT total energy: -89.523 eV for the cell shown
Calculated volume: 271.7 Å³ per cell
Theoretical density: 12.98 g cm⁻³
Magnetization: 0.00 μB/cell
Density of states at the Fermi level: 21.46 states/eV/cell

a = 6.4765 Å, b = 6.4765 Å, c = 6.4765 Å
α = 90.00°, β = 90.00°, γ = 90.00°
Last column: nearest neighbours and their distance in Å.
Space group F-43m (No. 216)
One atom of each set of equivalent atoms:
In 0.0000 0.0000 0.0000 [4 per cell]  4 Cl 2.80, 4 Os 2.80
Os 0.0000 0.0000 0.5000 [4 per cell]  4 Os 2.80, 4 Cl 2.80
Os 0.2500 0.2500 0.7500 [4 per cell]  4 In 2.80, 4 Os 2.80
Cl 0.2500 0.2500 0.2500 [4 per cell]  4 In 2.80, 4 Os 2.80

(7)
A relaxed Tb2MgIn9 crystal, computed with PBE-GGA.

## Properties
DFT total energy: -38.896 eV for the cell shown
Calculated formation energy: -0.283 eV per atom
Calculated volume: 300.3 Å³ per cell
Theoretical density: 7.61 g cm⁻³
Magnetization: 0.00 μB/cell
Density of states at the Fermi level: 3.52 states/eV/cell

a = 4.6542 Å, b = 4.6542 Å, c = 13.8626 Å
α = 90.00°, β = 90.00°, γ = 90.00°
Last column: nearest neighbours and their distance in Å.
Space group P4/mmm (No. 123)
One atom of each set of equivalent atoms:
Tb 0.0000 0.0000 0.1659 [2 per cell]  12 In 3.27-3.34
Mg 0.0000 0.0000 0.5000 [1 per cell]  12 In 3.23-3.29
In 0.0000 0.5000 0.0000 [2 per cell]  4 Tb 3.27, 8 In 3.28-3.29
In 0.0000 0.5000 0.3389 [4 per cell]  8 In 3.23-3.33, 2 Mg 3.23, 2 Tb 3.34
In 0.5000 0.5000 0.1669 [2 per cell]  8 In 3.28-3.33, 4 Tb 3.29
In 0.5000 0.5000 0.5000 [1 per cell]  8 In 3.23, 4 Mg 3.29

(8)
A relaxed CaMn2Pb crystal, computed with PBE-GGA.

## Properties
DFT total energy: -90.124 eV for the cell shown
Calculated formation energy: 0.380 eV per atom
Calculated volume: 337.1 Å³ per cell
Theoretical density: 7.04 g cm⁻³
Magnetization: 30.39 μB/cell
Density of states at the Fermi level: 21.59 states/eV/cell

a = 6.9599 Å, b = 6.9599 Å, c = 6.9599 Å
α = 90.00°, β = 90.00°, γ = 90.00°
Last column: nearest neighbours and their distance in Å.
Space group Fm-3m (No. 225)
One atom of each set of equivalent atoms:
Ca 0.0000 0.0000 0.0000 [4 per cell]  8 Mn 3.01
Mn 0.2500 0.2500 0.2500 [8 per cell]  4 Pb 3.01, 4 Ca 3.01
Pb 0.0000 0.0000 0.5000 [4 per cell]  8 Mn 3.01